# 1
PuHfTiIn after structural relaxation. Source: Alexandria, functional PBE-GGA.

Properties
Magnetization in μB/f.u.: 6.9
Formation enthalpy at 0 K in eV/atom: 0.068
ρ in g/cm³: 11.42
E in eV per atom: -8.66

Cell and atoms, written as POSCAR:
```
PuHfTiIn
1.0
4.938 0.000 0.000
2.469 4.276 0.000
2.469 1.425 4.032
Pu Ti In Hf
1 1 1 1
direct
0.500 0.500 0.500
0.250 0.250 0.250
0.000 0.000 0.000
0.750 0.750 0.750
```

---

# 2
V2BMo after structural relaxation. Source: Alexandria, functional PBE-GGA.

Properties
Magnetization in μB/f.u.: 0.0
Formation enthalpy at 0 K in eV/atom: -0.067
ρ in g/cm³: 6.92
E in eV per atom: -9.00

Cell and atoms, written as POSCAR:
```
V2BMo
1.0
-0.160 0.121 2.948
-0.304 -2.487 1.566
6.428 -1.352 1.886
Mo B V
1 1 2
direct
0.500 0.500 0.500
0.000 0.000 0.000
0.270 0.270 0.189
0.730 0.730 0.811
```

---

# 3
Rb2PmTiO4 after structural relaxation. Source: Alexandria, functional PBE-GGA.

Properties
Magnetization in μB/f.u.: 0.0
ΔE_f (raw) in kJ/mol of atoms: -212
ρ in g/cm³: 2.96
E in eV per atom: -6.50

Cell and atoms, written as POSCAR:
```
Rb2PmTiO4
1.0
-3.129 4.047 3.330
1.597 -0.049 7.154
6.868 10.046 -0.163
Ti O Rb Pm
2 8 4 2
direct
0.250 0.500 0.500
0.500 0.000 0.000
0.588 0.160 0.073
0.162 0.340 0.427
0.497 0.340 0.573
0.820 0.840 0.927
0.339 0.840 0.073
0.930 0.660 0.573
0.411 0.660 0.427
0.253 0.160 0.927
0.186 0.000 0.629
0.814 0.000 0.371
0.564 0.500 0.871
0.936 0.500 0.129
0.750 0.500 0.500
0.000 0.000 0.000
```